Entry 1:
Sc6Fe: optimized geometry, GGA-PBE.

Cell lengths 5.776, 10.045, 10.937 Å; angles 90.00, 90.00, 90.00 degrees
Element x y z (fractional)
1 Sc 0.727 0.250 0.506
2 Sc 0.273 0.750 0.494
3 Sc 0.227 0.750 0.994
4 Sc 0.773 0.250 0.006
5 Sc 0.432 0.250 0.757
6 Sc 0.568 0.750 0.243
7 Sc 0.932 0.750 0.743
8 Sc 0.068 0.250 0.257
9 Sc 0.242 0.427 0.496
10 Sc 0.758 0.573 0.504
11 Sc 0.742 0.573 0.004
12 Sc 0.758 0.927 0.504
13 Sc 0.258 0.427 0.996
14 Sc 0.242 0.073 0.496
15 Sc 0.258 0.073 0.996
16 Sc 0.742 0.927 0.004
17 Sc 0.909 0.426 0.758
18 Sc 0.091 0.574 0.242
19 Sc 0.409 0.574 0.742
20 Sc 0.091 0.926 0.242
21 Sc 0.591 0.426 0.258
22 Sc 0.909 0.074 0.758
23 Sc 0.591 0.074 0.258
24 Sc 0.409 0.926 0.742
25 Fe 0.082 0.250 0.629
26 Fe 0.918 0.750 0.371
27 Fe 0.582 0.750 0.871
28 Fe 0.418 0.250 0.129

=====

Entry 2:
Sc3Fe: optimized geometry, GGA-PBE.

Cell lengths 4.526, 6.992, 5.927 Å; angles 82.90, 67.56, 71.12 degrees
Element x y z (fractional)
1 Sc 0.799 0.670 0.732
2 Sc 0.469 0.330 0.732
3 Sc 0.871 0.000 0.258
4 Sc 0.129 0.000 0.742
5 Sc 0.531 0.670 0.268
6 Sc 0.201 0.330 0.268
7 Fe 0.829 0.342 0.000
8 Fe 0.171 0.658 0.000

=====

Calculated formation energy from the elements, -0.021, -0.027 eV per atom (same order as the records).
Calculated D(E_F), 8.9, 4.2 states/eV/f.u. (same order as the records).
Calculated E, -6.657, -6.891 eV per atom (same order as the records).